(1)
Here is K5Na3Hg3 after structural relaxation from Alexandria. Energies are from PBE.

Cell: 10.951 10.951 5.580 Å, 90.00 90.00 120.00°
Fractional positions:
K (0.000, 0.757, 0.000)
K (0.243, 0.243, 0.000)
K (0.333, 0.667, 0.000)
K (0.667, 0.333, 0.000)
K (0.757, 0.000, 0.000)
Na (0.000, 0.474, 0.500)
Na (0.474, 0.000, 0.500)
Na (0.526, 0.526, 0.500)
Hg (0.000, 0.362, 0.000)
Hg (0.362, 0.000, 0.000)
Hg (0.638, 0.638, 0.000)

(2)
Here is K6NaHg6 after structural relaxation from Alexandria. Energies are from PBE.

Cell: 9.300 9.300 9.300 Å, 136.34 99.87 96.04°
Fractional positions:
K (0.164, 0.164, 0.000)
K (0.190, 0.500, 0.690)
K (0.335, 0.835, 0.500)
K (0.665, 0.165, 0.500)
K (0.810, 0.500, 0.310)
K (0.836, 0.836, 0.000)
Na (0.500, 0.500, 0.000)
Hg (0.000, 0.000, 0.500)
Hg (0.000, 0.500, 0.000)
Hg (0.255, 0.000, 0.255)
Hg (0.500, 0.000, 0.000)
Hg (0.500, 0.500, 0.500)
Hg (0.745, 0.000, 0.745)

(3)
Here is KNaHg2 after structural relaxation from Alexandria. Energies are from PBE.

Values from the calculation:
- energy above the most stable polymorph in this dataset (meV/atom) = 125

Cell: 9.028 9.028 6.666 Å, 90.00 90.00 90.00°
Fractional positions:
K (0.000, 0.000, 0.000)
K (0.000, 0.500, 0.250)
K (0.500, 0.000, 0.750)
K (0.500, 0.500, 0.500)
Na (0.000, 0.000, 0.500)
Na (0.000, 0.500, 0.750)
Na (0.500, 0.000, 0.250)
Na (0.500, 0.500, 0.000)
Hg (0.221, 0.750, 0.625)
Hg (0.250, 0.221, 0.375)
Hg (0.250, 0.279, 0.875)
Hg (0.279, 0.750, 0.125)
Hg (0.721, 0.250, 0.125)
Hg (0.750, 0.721, 0.875)
Hg (0.750, 0.779, 0.375)
Hg (0.779, 0.250, 0.625)

(4)
Here is K12Na7Hg after structural relaxation from Alexandria. Energies are from PBE.

Cell: 10.913 10.913 10.913 Å, 106.50 106.50 106.50°
Fractional positions:
K (0.080, 0.794, 0.292)
K (0.145, 0.227, 0.427)
K (0.206, 0.708, 0.920)
K (0.227, 0.427, 0.145)
K (0.292, 0.080, 0.794)
K (0.427, 0.145, 0.227)
K (0.573, 0.855, 0.773)
K (0.708, 0.920, 0.206)
K (0.773, 0.573, 0.855)
K (0.794, 0.292, 0.080)
K (0.855, 0.773, 0.573)
K (0.920, 0.206, 0.708)
Na (0.000, 0.000, 0.000)
Na (0.192, 0.601, 0.528)
Na (0.399, 0.472, 0.808)
Na (0.472, 0.808, 0.399)
Na (0.528, 0.192, 0.601)
Na (0.601, 0.528, 0.192)
Na (0.808, 0.399, 0.472)
Hg (0.500, 0.500, 0.500)

(5)
Here is KNa7Hg4 after structural relaxation from Alexandria. Energies are from PBE.

Values from the calculation:
- energy above the most stable polymorph in this dataset (meV/atom) = 34

Cell: 7.820 7.820 11.051 Å, 122.76 122.76 43.68°
Fractional positions:
K (0.000, 0.000, 0.000)
Na (0.065, 0.065, 0.391)
Na (0.218, 0.218, 0.873)
Na (0.323, 0.323, 0.386)
Na (0.500, 0.500, 0.000)
Na (0.677, 0.677, 0.614)
Na (0.782, 0.782, 0.127)
Na (0.935, 0.935, 0.609)
Hg (0.314, 0.314, 0.666)
Hg (0.437, 0.437, 0.222)
Hg (0.563, 0.563, 0.778)
Hg (0.686, 0.686, 0.334)

(6)
Here is KNa5Hg after structural relaxation from Alexandria. Energies are from PBE.

Values from the calculation:
- energy above the most stable polymorph in this dataset (meV/atom) = 10

Cell: 8.483 8.483 8.677 Å, 104.72 104.72 103.32°
Fractional positions:
K (0.000, 0.000, 0.000)
K (0.000, 0.000, 0.500)
Na (0.177, 0.437, 0.929)
Na (0.199, 0.473, 0.374)
Na (0.240, 0.760, 0.750)
Na (0.437, 0.177, 0.429)
Na (0.473, 0.199, 0.874)
Na (0.527, 0.801, 0.126)
Na (0.563, 0.823, 0.571)
Na (0.760, 0.240, 0.250)
Na (0.801, 0.527, 0.626)
Na (0.823, 0.563, 0.071)
Hg (0.476, 0.524, 0.750)
Hg (0.524, 0.476, 0.250)

(7)
Here is K2NaHg after structural relaxation from Alexandria. Energies are from PBE.

Values from the calculation:
- energy above the most stable polymorph in this dataset (meV/atom) = 15

Cell: 11.790 7.474 4.600 Å, 90.00 112.66 90.00°
Fractional positions:
K (0.197, 0.000, 0.197)
K (0.303, 0.500, 0.803)
K (0.697, 0.500, 0.197)
K (0.803, 0.000, 0.803)
Na (0.000, 0.532, 0.000)
Na (0.500, 0.032, 0.000)
Hg (0.000, 0.242, 0.500)
Hg (0.500, 0.742, 0.500)

(8)
Here is K6NaHg after structural relaxation from Alexandria. Energies are from PBE.

Values from the calculation:
- energy above the most stable polymorph in this dataset (meV/atom) = 22

Cell: 6.043 6.043 12.239 Å, 90.00 90.00 90.00°
Fractional positions:
K (0.000, 0.000, 0.000)
K (0.000, 0.000, 0.500)
K (0.000, 0.500, 0.230)
K (0.000, 0.500, 0.770)
K (0.500, 0.000, 0.230)
K (0.500, 0.000, 0.770)
Na (0.500, 0.500, 0.500)
Hg (0.500, 0.500, 0.000)

(9)
Here is K2Na8Hg after structural relaxation from Alexandria. Energies are from PBE.

Cell: 10.520 10.520 7.639 Å, 100.00 100.00 32.21°
Fractional positions:
K (0.220, 0.220, 0.174)
K (0.780, 0.780, 0.826)
Na (0.023, 0.023, 0.253)
Na (0.138, 0.138, 0.653)
Na (0.361, 0.361, 0.615)
Na (0.424, 0.424, 0.096)
Na (0.576, 0.576, 0.904)
Na (0.639, 0.639, 0.385)
Na (0.862, 0.862, 0.347)
Na (0.977, 0.977, 0.747)
Hg (0.500, 0.500, 0.500)

(10)
Here is K2NaHg after structural relaxation from Alexandria. Energies are from PBE.

Values from the calculation:
- energy above the most stable polymorph in this dataset (meV/atom) = 185

Cell: 4.255 4.255 40.822 Å, 90.00 90.00 120.00°
Fractional positions:
K (0.000, 0.000, 0.087)
K (0.000, 0.000, 0.913)
K (0.333, 0.667, 0.580)
K (0.333, 0.667, 0.754)
K (0.667, 0.333, 0.246)
K (0.667, 0.333, 0.420)
Na (0.000, 0.000, 0.500)
Na (0.333, 0.667, 0.167)
Na (0.667, 0.333, 0.833)
Hg (0.000, 0.000, 0.000)
Hg (0.333, 0.667, 0.667)
Hg (0.667, 0.333, 0.333)

(11)
Here is K2Na7Hg3 after structural relaxation from Alexandria. Energies are from PBE.

Cell: 18.610 18.610 3.850 Å, 90.00 90.00 161.88°
Fractional positions:
K (0.166, 0.834, 0.000)
K (0.834, 0.166, 0.000)
Na (0.000, 0.000, 0.000)
Na (0.078, 0.922, 0.500)
Na (0.278, 0.722, 0.000)
Na (0.428, 0.572, 0.000)
Na (0.572, 0.428, 0.000)
Na (0.722, 0.278, 0.000)
Na (0.922, 0.078, 0.500)
Hg (0.356, 0.644, 0.500)
Hg (0.500, 0.500, 0.500)
Hg (0.644, 0.356, 0.500)

(12)
Here is KNa4Hg2 after structural relaxation from Alexandria. Energies are from PBE.

Values from the calculation:
- energy above the most stable polymorph in this dataset (meV/atom) = 17

Cell: 5.002 19.740 4.914 Å, 90.00 90.00 90.00°
Fractional positions:
K (0.000, 0.000, 0.000)
K (0.500, 0.500, 0.000)
Na (0.000, 0.178, 0.500)
Na (0.000, 0.322, 0.000)
Na (0.000, 0.678, 0.000)
Na (0.000, 0.822, 0.500)
Na (0.500, 0.178, 0.000)
Na (0.500, 0.322, 0.500)
Na (0.500, 0.678, 0.500)
Na (0.500, 0.822, 0.000)
Hg (0.000, 0.425, 0.500)
Hg (0.000, 0.575, 0.500)
Hg (0.500, 0.075, 0.500)
Hg (0.500, 0.925, 0.500)

It is found that the E_tot values, taken in the order of the records, are -0.0724, -0.0676, -0.0643, -0.0834, -0.0797, -0.0860, -0.0785, -0.0771, -0.0892, -0.0660, -0.0823, -0.0833 Ry per atom.
It is found that the mass density values, taken in the order of the records, are 2.48, 4.71, 5.66, 1.26, 4.39, 2.12, 2.68, 1.70, 1.73, 2.35, 3.37, 3.64 g cm⁻³.
It is found that the DFT formation energy values, taken in the order of the records, are -0.045, -0.173, -0.120, 0.001, -0.122, -0.028, -0.113, -0.024, -0.027, 0.056, -0.091, -0.136 eV/atom.